A geometry-optimized Pr2Ge3Pt2 structure, computed with GGA-PBE.

Summary:
Calculated formation energy   -0.8862 eV per atom
ΔE to the lowest computed polymorph   0 meV/atom
D(E_F)   5.09 states/eV/cell

a = 4.364 Å, b = 7.164 Å, c = 9.575 Å
α = 90.00°, β = 103.17°, γ = 90.00°
Atoms (fractional coordinates):
Pr 0.155 0.250 0.310
Pr 0.845 0.750 0.690
Ge 0.776 0.250 0.552
Ge 0.563 0.066 0.125
Ge 0.563 0.434 0.125
Pt 0.306 0.451 0.611
Pt 0.306 0.049 0.611
Ge 0.437 0.934 0.875
Pt 0.694 0.549 0.389
Pt 0.694 0.951 0.389
Ge 0.437 0.566 0.875
Ge 0.224 0.750 0.448
Pr 0.055 0.750 0.110
Pr 0.945 0.250 0.890



A geometry-optimized LiInAgF2 structure, computed with GGA-PBE.

Summary:
D(E_F)   1.96 states/eV/cell
Energy relative to the elements, uncorrected   -3.84 eV per formula unit

a = 4.463 Å, b = 5.469 Å, c = 4.463 Å
α = 90.00°, β = 90.00°, γ = 90.00°
Atoms (fractional coordinates):
F 0.000 0.000 0.500
Ag 0.000 0.000 0.000
F 0.500 0.000 0.000
In 0.000 0.500 0.000
Li 0.500 0.500 0.500



A geometry-optimized KTaSe2 structure, computed with GGA-PBE.

Summary:
D(E_F)   1.27 states/eV/cell
Energy relative to the elements, uncorrected   -2.67 eV per formula unit

a = 8.221 Å, b = 8.221 Å, c = 8.221 Å
α = 155.83°, β = 154.99°, γ = 35.06°
Atoms (fractional coordinates):
Se 0.977 0.977 0.000
K 0.299 0.799 0.500
Se 0.671 0.171 0.500
Ta 0.552 0.552 0.000



A geometry-optimized Ga2CuRhSe structure, computed with GGA-PBE.

Summary:
D(E_F)   3.23 states/eV/cell
Energy relative to the elements, uncorrected   1.36 eV per formula unit

a = 4.729 Å, b = 4.729 Å, c = 5.046 Å
α = 90.00°, β = 90.00°, γ = 90.00°
Atoms (fractional coordinates):
Se 0.000 0.000 0.500
Ga 0.000 0.500 0.000
Cu 0.500 0.500 0.500
Ga 0.500 0.000 0.000
Rh 0.000 0.000 0.000



A geometry-optimized MgAs3S structure, computed with GGA-PBE.

Summary:
ΔE to the lowest computed polymorph   466 meV/atom
D(E_F)   5.86 states/eV/cell
Energy relative to the elements, uncorrected   4.84 eV per formula unit

a = 4.934 Å, b = 4.934 Å, c = 4.934 Å
α = 90.00°, β = 90.00°, γ = 90.00°
Atoms (fractional coordinates):
As 0.500 0.000 0.000
As 0.000 0.000 0.500
S 0.500 0.500 0.500
Mg 0.000 0.000 0.000
As 0.000 0.500 0.000



A geometry-optimized La2HoPb2 structure, computed with GGA-PBE.

Summary:
Calculated formation energy   -0.5114 eV per atom
ΔE to the lowest computed polymorph   45 meV/atom
D(E_F)   7.77 states/eV/cell

a = 5.223 Å, b = 6.727 Å, c = 9.829 Å
α = 90.00°, β = 105.41°, γ = 90.00°
Atoms (fractional coordinates):
Pb 0.184 0.477 0.368
La 0.804 0.476 0.609
Pb 0.423 0.477 0.846
Ho 0.601 0.477 0.203
Ho 0.399 0.977 0.797
La 0.196 0.976 0.391
Pb 0.816 0.977 0.632
Pb 0.577 0.977 0.154
La 0.000 0.227 0.000
La 0.000 0.727 0.000



A geometry-optimized Sr4Li5Ag structure, computed with GGA-PBE.

Summary:
Calculated formation energy   -0.0476 eV per atom
D(E_F)   7.45 states/eV/cell

a = 5.759 Å, b = 8.139 Å, c = 8.139 Å
α = 82.81°, β = 69.28°, γ = 69.28°
Atoms (fractional coordinates):
Sr 0.560 0.290 0.710
Li 0.878 0.325 0.000
Li 0.292 0.000 0.000
Li 0.203 0.675 0.000
Sr 0.560 0.710 0.290
Ag 0.795 0.000 0.000
Sr 0.269 0.290 0.290
Li 0.878 0.000 0.325
Li 0.203 0.000 0.675
Sr 0.850 0.710 0.710



A geometry-optimized Na2Se2I structure, computed with GGA-PBE.

Summary:
ΔE to the lowest computed polymorph   206 meV/atom
D(E_F)   3.24 states/eV/cell
Energy relative to the elements, uncorrected   -2.40 eV per formula unit

a = 9.436 Å, b = 9.436 Å, c = 2.962 Å
α = 90.00°, β = 90.00°, γ = 90.00°
Atoms (fractional coordinates):
Na 0.834 0.666 0.000
Na 0.166 0.334 0.000
Se 0.619 0.881 0.500
Se 0.881 0.381 0.500
Se 0.119 0.619 0.500
I 0.000 0.000 0.000
Se 0.381 0.119 0.500
I 0.500 0.500 0.000
Na 0.334 0.834 0.000
Na 0.666 0.166 0.000



A geometry-optimized Si3SnAs structure, computed with GGA-PBE.

Summary:
ΔE to the lowest computed polymorph   0 meV/atom
D(E_F)   3.91 states/eV/cell
Energy relative to the elements, uncorrected   4.44 eV per formula unit

a = 4.861 Å, b = 4.861 Å, c = 4.861 Å
α = 90.00°, β = 90.00°, γ = 90.00°
Atoms (fractional coordinates):
Sn 0.500 0.500 0.500
As 0.000 0.000 0.000
Si 0.500 0.000 0.000
Si 0.000 0.000 0.500
Si 0.000 0.500 0.000



A geometry-optimized Ca2La15Pm2 structure, computed with GGA-PBE.

Summary:
Calculated formation energy   0.1901 eV per atom
D(E_F)   33.03 states/eV/cell

a = 9.084 Å, b = 9.084 Å, c = 9.084 Å
α = 81.33°, β = 81.33°, γ = 81.33°
Atoms (fractional coordinates):
La 0.851 0.362 0.362
La 0.296 0.000 0.704
La 0.638 0.638 0.149
La 0.704 0.296 0.000
La 0.362 0.851 0.362
Pm 0.094 0.094 0.094
Ca 0.668 0.668 0.668
La 0.704 0.000 0.296
La 0.638 0.149 0.638
La 0.000 0.500 0.000
La 0.362 0.362 0.851
La 0.296 0.704 0.000
La 0.149 0.638 0.638
Pm 0.906 0.906 0.906
La 0.000 0.000 0.500
La 0.000 0.296 0.704
Ca 0.332 0.332 0.332
La 0.500 0.000 0.000
La 0.000 0.704 0.296



A geometry-optimized ZrTa3Cl structure, computed with GGA-PBE.

Summary:
ΔE to the lowest computed polymorph   0 meV/atom
D(E_F)   3.44 states/eV/cell
Energy relative to the elements, uncorrected   3.05 eV per formula unit

a = 4.590 Å, b = 4.590 Å, c = 4.590 Å
α = 90.00°, β = 90.00°, γ = 90.00°
Atoms (fractional coordinates):
Zr 0.500 0.500 0.500
Ta 0.500 0.000 0.000
Ta 0.000 0.000 0.500
Ta 0.000 0.500 0.000
Cl 0.000 0.000 0.000



A geometry-optimized RbNiHg3 structure, computed with GGA-PBE.

Summary:
Calculated formation energy   0.8763 eV per atom
ΔE to the lowest computed polymorph   997 meV/atom
D(E_F)   1.33 states/eV/cell

a = 6.834 Å, b = 6.834 Å, c = 6.834 Å
α = 90.00°, β = 90.00°, γ = 90.00°
Each line ends with the local moment (μB).
Atoms (fractional coordinates):
Ni 0.500 0.500 0.500  1.14
Hg 0.000 0.500 0.000  -0.01
Rb 0.000 0.000 0.000  0.00
Hg 0.000 0.000 0.500  0.00
Hg 0.500 0.000 0.000  -0.01



A geometry-optimized PmAlAg4 structure, computed with GGA-PBE.

Summary:
Calculated formation energy   -0.1480 eV per atom
D(E_F)   2.23 states/eV/cell

a = 5.581 Å, b = 5.581 Å, c = 5.581 Å
α = 60.00°, β = 60.00°, γ = 60.00°
Atoms (fractional coordinates):
Ag 0.124 0.625 0.625
Al 0.000 0.000 0.000
Pm 0.250 0.250 0.250
Ag 0.625 0.625 0.124
Ag 0.625 0.625 0.625
Ag 0.625 0.124 0.625



A geometry-optimized Th2In4Bi structure, computed with GGA-PBE.

Summary:
Calculated formation energy   -0.1726 eV per atom
D(E_F)   5.13 states/eV/cell

a = 6.576 Å, b = 6.576 Å, c = 6.739 Å
α = 119.16°, β = 119.16°, γ = 90.22°
Atoms (fractional coordinates):
Bi 0.786 0.786 0.571
Th 0.286 0.786 0.571
Th 0.786 0.286 0.571
In 0.786 0.286 0.071
In 0.286 0.786 0.071
In 0.286 0.286 0.071
In 0.786 0.786 0.072



A geometry-optimized RbBeF3 structure, computed with GGA-PBE.

Summary:
D(E_F)   0.00 states/eV/cell
Energy relative to the elements, uncorrected   -15.68 eV per formula unit

a = 8.001 Å, b = 8.001 Å, c = 5.084 Å
α = 90.02°, β = 90.02°, γ = 95.64°
Atoms (fractional coordinates):
F 0.764 0.964 0.250
F 0.314 0.315 0.999
Rb 0.666 0.334 0.250
Be 0.803 0.645 0.750
F 0.964 0.764 0.750
F 0.686 0.685 0.001
Rb 0.334 0.666 0.750
F 0.685 0.686 0.501
F 0.315 0.314 0.499
F 0.177 0.542 0.250
Be 0.645 0.803 0.250
F 0.458 0.823 0.250
Be 0.197 0.355 0.250
F 0.036 0.236 0.250
F 0.236 0.036 0.750
F 0.823 0.458 0.750
Rb 0.114 0.886 0.250
Rb 0.886 0.114 0.750
F 0.542 0.177 0.750
Be 0.355 0.197 0.750